No. 1
# Nb2Ge2Se (PBE-GGA, relaxed)
data_Nb2Ge2Se
_cell_length_a 3.573
_cell_length_b 3.573
_cell_length_c 14.042
_cell_angle_alpha 90.00
_cell_angle_beta 90.00
_cell_angle_gamma 90.00
_space_group_name_H-M_alt 'I 4/m m m'
_space_group_IT_number 139
_space_group_name_Hall '-I 4 2'
loop_
_atom_site_label
_atom_site_type_symbol
_atom_site_fract_x
_atom_site_fract_y
_atom_site_fract_z
Nb1 Nb 0.000 0.000 0.104
Ge1 Ge 0.000 0.500 0.250
Se1 Se 0.000 0.000 0.500
# Total DFT energy (no corrections) ... -33.616 eV per formula unit
# E above lowest polymorph ... 0.70 eV/f.u.
# Mass density ... 7596 kg/m3
# ΔE_f (raw) ... -0.151 eV per atom



No. 2
# NbGeSe3 (PBE-GGA, relaxed)
data_NbGeSe3
_cell_length_a 3.841
_cell_length_b 22.117
_cell_length_c 6.939
_cell_angle_alpha 90.00
_cell_angle_beta 90.00
_cell_angle_gamma 90.00
_space_group_name_H-M_alt 'C m c 21'
_space_group_IT_number 36
loop_
_space_group_symop_operation_xyz
'x,y,z'
'-x,-y,z+1/2'
'-x,y,z'
'x,-y,z+1/2'
'x+1/2,y+1/2,z'
'-x+1/2,-y+1/2,z+1/2'
'-x+1/2,y+1/2,z'
'x+1/2,-y+1/2,z+1/2'
loop_
_atom_site_label
_atom_site_type_symbol
_atom_site_fract_x
_atom_site_fract_y
_atom_site_fract_z
Nb1 Nb 0.000 0.123 0.000
Ge1 Ge 0.000 0.341 0.071
Se1 Se 0.000 0.108 0.353
Se2 Se 0.000 0.218 0.835
Se3 Se 0.000 0.432 0.327
# Total DFT energy (no corrections) ... -26.759 eV per formula unit
# E above lowest polymorph ... 1.15 eV/f.u.
# Mass density ... 4535 kg/m3
# ΔE_f (raw) ... -0.324 eV per atom



No. 3
# Nb2Ge2Se (PBE-GGA, relaxed)
data_Nb2Ge2Se
_cell_length_a 7.190
_cell_length_b 7.190
_cell_length_c 3.422
_cell_angle_alpha 90.00
_cell_angle_beta 90.00
_cell_angle_gamma 90.00
_space_group_name_H-M_alt 'P 4/m b m'
_space_group_IT_number 127
_space_group_name_Hall '-P 4 2ab'
loop_
_atom_site_label
_atom_site_type_symbol
_atom_site_fract_x
_atom_site_fract_y
_atom_site_fract_z
Nb1 Nb 0.169 0.331 0.000
Ge1 Ge 0.128 0.628 0.500
Se1 Se 0.000 0.000 0.500
# Total DFT energy (no corrections) ... -32.753 eV per formula unit
# E above lowest polymorph ... 1.56 eV/f.u.
# Mass density ... 7699 kg/m3
# ΔE_f (raw) ... 0.021 eV per atom